1.
DFT (PBE) results for crystalline Pm7Nd2Cd2 at its relaxed geometry.

## Properties
energy relative to the elements: 9.55 kJ/mol of atoms
mass density: 6955 kg/m3

```
11
Lattice="4.4255 -6.3135 0.0000 4.4255 6.3135 0.0000 -1.4546 0.0000 6.5295" Properties=species:S:1:pos:R:3 pbc="T T T"
Pm 0.0000 0.0000 0.0000
Pm 1.8401 3.0092 5.1770
Pm 2.3617 0.0000 2.5166
Pm 5.5561 3.0092 1.3525
Pm 1.8401 -3.0092 5.1770
Pm 5.0346 0.0000 4.0129
Pm 5.5561 -3.0092 1.3525
Nd 3.6981 4.7027 3.2648
Nd 3.6981 -4.7027 3.2648
Cd 1.6626 0.0000 5.8463
Cd 5.7336 0.0000 0.6832
```

=====

2.
DFT (PBE) results for crystalline Pm2Nd4Cd at its relaxed geometry.

## Properties
energy relative to the elements: 2.68 kJ/mol of atoms
mass density: 6881 kg/m3

```
7
Lattice="8.5076 -1.7916 0.0000 8.5076 1.7916 0.0000 -3.9970 0.0000 7.7535" Properties=species:S:1:pos:R:3 pbc="T T T"
Pm 3.1375 0.0000 1.0847
Pm 9.8805 0.0000 6.6687
Nd -1.4188 0.0000 5.4427
Nd 3.8668 0.0000 4.7635
Nd 9.1513 0.0000 2.9900
Nd 14.4369 0.0000 2.3107
Cd 0.0000 0.0000 0.0000
```

=====

3.
DFT (PBE) results for crystalline PmNd6Cd2 at its relaxed geometry.

## Properties
energy relative to the elements: -12.87 kJ/mol of atoms
ΔE to the lowest computed polymorph: 0.0 meV/atom
mass density: 7029 kg/m3

```
9
Lattice="6.4942 -1.9264 0.0000 6.4942 1.9264 0.0000 -3.9331 0.0000 11.6629" Properties=species:S:1:pos:R:3 pbc="T T T"
Pm 0.0000 0.0000 0.0000
Nd -1.0785 0.0000 3.9452
Nd 2.4199 0.0000 4.8116
Nd 3.6141 0.0000 1.4416
Nd 5.4413 0.0000 10.2213
Nd 6.6354 0.0000 6.8513
Nd 10.1338 0.0000 7.7177
Cd 1.4775 0.0000 9.2788
Cd 7.5778 0.0000 2.3842
```

=====

4.
DFT (PBE) results for crystalline Pm4NdCd at its relaxed geometry.

## Properties
energy relative to the elements: -9.32 kJ/mol of atoms
ΔE to the lowest computed polymorph: 0.0 meV/atom
mass density: 7131 kg/m3

```
6
Lattice="3.6761 0.0000 0.0000 0.0000 3.6761 0.0000 0.0000 0.0000 14.4176" Properties=species:S:1:pos:R:3 pbc="T T T"
Pm 0.0000 0.0000 2.0843
Pm 0.0000 0.0000 12.3333
Pm 1.8380 1.8380 4.6243
Pm 1.8380 1.8380 9.7933
Nd 0.0000 0.0000 7.2088
Cd 1.8380 1.8380 0.0000
```

=====

5.
DFT (PBE) results for crystalline Pm4Nd3Cd at its relaxed geometry.

## Properties
energy relative to the elements: 2.04 kJ/mol of atoms
ΔE to the lowest computed polymorph: 62.5 meV/atom
mass density: 7106 kg/m3

```
8
Lattice="4.1945 0.0000 0.0000 0.0000 4.1945 0.0000 0.0000 0.0000 14.9451" Properties=species:S:1:pos:R:3 pbc="T T T"
Pm 0.0000 0.0000 1.6931
Pm 0.0000 0.0000 5.5909
Pm 0.0000 0.0000 9.3542
Pm 0.0000 0.0000 13.2521
Nd 2.0972 2.0972 3.7698
Nd 2.0972 2.0972 7.4726
Nd 2.0972 2.0972 11.1754
Cd 2.0972 2.0972 0.0000
```

=====

6.
DFT (PBE) results for crystalline PmNdCd4 at its relaxed geometry.

## Properties
energy relative to the elements: -29.07 kJ/mol of atoms
ΔE to the lowest computed polymorph: 45.9 meV/atom
mass density: 8058 kg/m3

```
6
Lattice="0.0000 4.2382 4.2382 4.2382 0.0000 4.2382 4.2382 4.2382 0.0000" Properties=species:S:1:pos:R:3 pbc="T T T"
Pm 0.0000 0.0000 0.0000
Nd 2.1191 2.1191 2.1191
Cd 5.2979 3.1785 3.1785
Cd 3.1785 5.2979 3.1785
Cd 3.1785 3.1785 5.2979
Cd 5.2979 5.2979 5.2979
```